No. 1
A geometry-optimized Tl12Cd5Sn3 structure, computed with PBE-GGA.

## Properties
- final energy (eV/atom) = -2.0909
- formation energy from the elements (eV per atom) = 0.16
- N(E_F) (states/eV/cell) = 63.373

The structure in CIF format:
```
data_Tl12Cd5Sn3
_cell_length_a 17.815
_cell_length_b 17.815
_cell_length_c 17.815
_cell_angle_alpha 90.00
_cell_angle_beta 90.00
_cell_angle_gamma 90.00
_symmetry_space_group_name_H-M 'I a -3 d'
_symmetry_Int_Tables_number 230
_symmetry_space_group_name_Hall '-I 4bd 2c 3'
loop_
_atom_site_label
_atom_site_type_symbol
_atom_site_fract_x
_atom_site_fract_y
_atom_site_fract_z
_atom_site_occupancy
Tl1 Tl 0.016 0.075 0.652 1
Cd1 Cd 0.000 0.000 0.000 1
Cd2 Cd 0.000 0.250 0.375 1
Sn1 Sn 0.000 0.250 0.125 1
```


No. 2
A geometry-optimized AcCeAlGa structure, computed with PBE-GGA.

## Properties
- final energy (eV/atom) = -4.4941
- formation energy from the elements (eV per atom) = -0.29
- N(E_F) (states/eV/cell) = 27.915

The structure in CIF format:
```
data_AcCeAlGa
_cell_length_a 7.617
_cell_length_b 7.617
_cell_length_c 7.617
_cell_angle_alpha 90.00
_cell_angle_beta 90.00
_cell_angle_gamma 90.00
_symmetry_space_group_name_H-M 'F -4 3 m'
_symmetry_Int_Tables_number 216
_symmetry_space_group_name_Hall 'F -4 2 3'
loop_
_atom_site_label
_atom_site_type_symbol
_atom_site_fract_x
_atom_site_fract_y
_atom_site_fract_z
_atom_site_occupancy
Ac1 Ac 0.000 0.000 0.000 1
Ce1 Ce 0.000 0.000 0.500 1
Al1 Al 0.250 0.250 0.750 1
Ga1 Ga 0.250 0.250 0.250 1
```


No. 3
A geometry-optimized CaBi2Se4 structure, computed with PBE-GGA.

## Properties
- final energy (eV/atom) = -4.1807
- distance to the lowest polymorph of the same formula (kJ per mole of atoms) = 4.9
- ΔE_f (raw) (meV per atom) = -794.7

The structure in CIF format:
```
data_CaBi2Se4
_cell_length_a 4.150
_cell_length_b 13.766
_cell_length_c 14.273
_cell_angle_alpha 90.00
_cell_angle_beta 90.00
_cell_angle_gamma 90.00
_symmetry_space_group_name_H-M 'C m c m'
_symmetry_Int_Tables_number 63
_symmetry_space_group_name_Hall '-C 2c 2'
loop_
_atom_site_label
_atom_site_type_symbol
_atom_site_fract_x
_atom_site_fract_y
_atom_site_fract_z
_atom_site_occupancy
Ca1 Ca 0.000 0.114 0.250 1
Bi1 Bi 0.000 0.366 0.073 1
Se1 Se 0.000 0.000 0.000 1
Se2 Se 0.000 0.278 0.620 1
Se3 Se 0.000 0.466 0.250 1
```


No. 4
A geometry-optimized Pm6Sm2ErTm structure, computed with PBE-GGA.

## Properties
- final energy (eV/atom) = -4.5819
- formation energy from the elements (eV per atom) = 0.12
- N(E_F) (states/eV/cell) = 54.836

The structure in CIF format:
```
data_Pm6Sm2ErTm
_cell_length_a 9.186
_cell_length_b 15.316
_cell_length_c 9.695
_cell_angle_alpha 90.00
_cell_angle_beta 97.94
_cell_angle_gamma 90.00
_symmetry_space_group_name_H-M 'C 1 2/c 1'
_symmetry_Int_Tables_number 15
loop_
_symmetry_equiv_pos_as_xyz
'x,y,z'
'-x,-y,-z'
'-x,y,-z+1/2'
'x,-y,z+1/2'
'x+1/2,y+1/2,z'
'-x+1/2,-y+1/2,-z'
'-x+1/2,y+1/2,-z+1/2'
'x+1/2,-y+1/2,z+1/2'
loop_
_atom_site_label
_atom_site_type_symbol
_atom_site_fract_x
_atom_site_fract_y
_atom_site_fract_z
_atom_site_occupancy
Pm1 Pm 0.060 0.183 0.445 1
Pm2 Pm 0.103 0.394 0.618 1
Pm3 Pm 0.208 0.222 0.811 1
Sm1 Sm 0.249 0.051 0.044 1
Er1 Er 0.000 0.023 0.750 1
Tm1 Tm 0.000 0.409 0.250 1
```


No. 5
A geometry-optimized Er3Sn3Ru2 structure, computed with PBE-GGA.

## Properties
- final energy (eV/atom) = -6.1080
- formation energy from the elements (eV per atom) = -0.58
- N(E_F) (states/eV/cell) = 22.661

The structure in CIF format:
```
data_Er3Sn3Ru2
_cell_length_a 4.528
_cell_length_b 10.812
_cell_length_c 14.880
_cell_angle_alpha 90.00
_cell_angle_beta 90.00
_cell_angle_gamma 90.00
_symmetry_space_group_name_H-M 'C m c m'
_symmetry_Int_Tables_number 63
_symmetry_space_group_name_Hall '-C 2c 2'
loop_
_atom_site_label
_atom_site_type_symbol
_atom_site_fract_x
_atom_site_fract_y
_atom_site_fract_z
_atom_site_occupancy
Er1 Er 0.000 0.065 0.112 1
Er2 Er 0.000 0.339 0.250 1
Sn1 Sn 0.000 0.359 0.033 1
Sn2 Sn 0.000 0.370 0.750 1
Ru1 Ru 0.000 0.204 0.616 1
```


No. 6
A geometry-optimized LaGd2Hg structure, computed with PBE-GGA.

## Properties
- final energy (eV/atom) = -8.4480
- distance to the lowest polymorph of the same formula (kJ per mole of atoms) = 14.2
- formation energy from the elements (eV per atom) = -0.10
- N(E_F) (states/eV/cell) = 19.140

The structure in CIF format:
```
data_LaGd2Hg
_cell_length_a 7.734
_cell_length_b 7.734
_cell_length_c 7.734
_cell_angle_alpha 90.00
_cell_angle_beta 90.00
_cell_angle_gamma 90.00
_symmetry_space_group_name_H-M 'F m -3 m'
_symmetry_Int_Tables_number 225
_symmetry_space_group_name_Hall '-F 4 2 3'
loop_
_atom_site_label
_atom_site_type_symbol
_atom_site_fract_x
_atom_site_fract_y
_atom_site_fract_z
_atom_site_occupancy
La1 La 0.000 0.000 0.000 1
Gd1 Gd 0.250 0.250 0.250 1
Hg1 Hg 0.000 0.000 0.500 1
```